# Ni2IrPt, relaxed, DFT GGA-PBEsol
data_Ni2IrPt
_chemical_formula_sum 'Ni2 Ir1 Pt1'
_space_group_name_H-M_alt 'P 4/m m m'
_space_group_IT_number 123
_space_group_name_Hall '-P 4 2'
_cell_length_a 2.656
_cell_length_b 2.656
_cell_length_c 7.089
_cell_angle_alpha 90.00
_cell_angle_beta 90.00
_cell_angle_gamma 90.00
loop_
_atom_site_label
_atom_site_fract_x
_atom_site_fract_y
_atom_site_fract_z
Ni1 0.000 0.000 0.243
Ir1 0.500 0.500 0.000
Pt1 0.500 0.500 0.500
# Mass density = 16.75 g/cm³
# Energy = -7.3048 eV per atom
# Polymorph energy (0 for the lowest one) = 0.0 kJ per mole of atoms
# Total magnetic moment = 0.00 μB/atom
# ΔE_f = -29 meV per atom